First-principles (PBE) data for AcGa6Pt2 after structural relaxation, as listed in the Alexandria database.

- mass density (g cm⁻³) = 7.723
- DOS at the Fermi energy (states/eV/f.u.) = 6.3
- energy of formation from the pure elements (meV/atom) = -218

Lattice parameters (Å, degrees): 8.571 8.571 8.571 60.00 60.00 60.00
Fractional positions:
Ga 0.483 0.017 0.483
Ga 0.233 0.233 0.767
Ac 0.500 0.500 0.500
Ga 0.767 0.767 0.233
Ga 0.017 0.017 0.483
Pt 0.625 0.125 0.125
Ga 0.233 0.767 0.767
Ga 0.767 0.233 0.767
Ga 0.483 0.017 0.017
Ga 0.767 0.233 0.233
Ga 0.233 0.767 0.233
Pt 0.125 0.125 0.625
Ac 0.750 0.750 0.750
Ga 0.017 0.483 0.017
Pt 0.125 0.625 0.125
Pt 0.125 0.125 0.125
Ga 0.483 0.483 0.017
Ga 0.017 0.483 0.483